No. 1
# CsLiH4SO5

An optimized crystal structure of CsLiH4SO5 (PBE, Alexandria via LeMat-Bulk). Values from VASP.

The structure in Quantum ESPRESSO input format:
```
&SYSTEM
  ibrav = 0, nat = 12, ntyp = 5
/
ATOMIC_SPECIES
O 16.00 O.upf
H 1.01 H.upf
Li 6.94 Li.upf
Cs 132.91 Cs.upf
S 32.06 S.upf
CELL_PARAMETERS angstrom
-0.6156 -1.1393 -6.5938
-0.6362 -5.8385 -3.2654
-4.6810 -0.5647 -0.8262
ATOMIC_POSITIONS crystal
O 0.9912 0.5630 0.8738
O 0.6042 0.6042 0.8525
O 0.2259 0.2259 0.3515
O 0.5630 0.9912 0.8738
O 0.4901 0.4901 0.4381
H 0.5402 0.5402 0.5684
H 0.3720 0.1034 0.2143
H 0.1034 0.3720 0.2143
H 0.5413 0.5413 0.2301
Li 0.3216 0.3216 0.6253
Cs 0.9996 0.9996 0.0015
S 0.7384 0.7384 0.7326
```

Properties
magnetization: 0.00 μB per cell
final energy: -5.175 eV/atom

=====

No. 2
# SrLi2I4

An optimized crystal structure of SrLi2I4 (PBE, Alexandria via LeMat-Bulk). Values from VASP.

The structure in Quantum ESPRESSO input format:
```
&SYSTEM
  ibrav = 0, nat = 7, ntyp = 3
/
ATOMIC_SPECIES
Sr 87.62 Sr.upf
I 126.90 I.upf
Li 6.94 Li.upf
CELL_PARAMETERS angstrom
-2.2833 3.5270 2.3673
-1.8160 -6.8953 3.6067
6.7924 1.9874 3.5912
ATOMIC_POSITIONS crystal
Sr 0.0000 0.0000 0.0000
I 0.1343 0.2688 0.3963
I 0.8657 0.7312 0.6037
I 0.3776 0.7553 0.1115
I 0.6224 0.2447 0.8885
Li 0.6773 0.3549 0.5802
Li 0.3227 0.6451 0.4198
```

Properties
raw formation energy: -32.5 kcal/mol of atoms
magnetization: 0.00 μB per cell
final energy: -3.080 eV/atom
E above lowest polymorph: 0.0 meV per atom

=====

No. 3
# Cs2NaHgAu

An optimized crystal structure of Cs2NaHgAu (PBE, Alexandria via LeMat-Bulk). Values from VASP.

The structure in Quantum ESPRESSO input format:
```
&SYSTEM
  ibrav = 0, nat = 5, ntyp = 4
/
ATOMIC_SPECIES
Cs 132.91 Cs.upf
Au 196.97 Au.upf
Hg 200.59 Hg.upf
Na 22.99 Na.upf
CELL_PARAMETERS angstrom
-5.9594 -2.3517 2.7775
-2.1117 -2.1058 -6.3139
2.3405 -4.9181 0.8575
ATOMIC_POSITIONS crystal
Cs 0.5000 0.0000 0.0000
Cs 0.0000 0.5000 0.0000
Au 0.0000 0.0000 0.0000
Hg 0.0000 0.0000 0.5000
Na 0.5000 0.5000 0.5000
```

Properties
magnetization: 0.00 μB per cell
final energy: -1.465 eV/atom
E above lowest polymorph: 79.0 meV per atom
DFT formation energy: -0.144 eV/atom

=====

No. 4
# MgNbTeO6

An optimized crystal structure of MgNbTeO6 (PBE, Alexandria via LeMat-Bulk). Values from VASP.

The structure in Quantum ESPRESSO input format:
```
&SYSTEM
  ibrav = 0, nat = 18, ntyp = 4
/
ATOMIC_SPECIES
O 16.00 O.upf
Mg 24.30 Mg.upf
Nb 92.91 Nb.upf
Te 127.60 Te.upf
CELL_PARAMETERS angstrom
5.3294 0.0000 0.0000
-2.6647 4.6154 0.0000
0.0000 0.0000 9.1212
ATOMIC_POSITIONS crystal
O 0.3470 0.3493 0.8677
O 0.6507 0.9977 0.8677
O 0.6530 0.6507 0.1323
O 0.9977 0.3470 0.1323
O 0.0023 0.6530 0.8677
O 0.3493 0.0023 0.1323
O 0.6507 0.6530 0.6323
O 0.6530 0.0023 0.3677
O 0.9977 0.6507 0.3677
O 0.0023 0.3493 0.6323
O 0.3493 0.3470 0.3677
O 0.3470 0.9977 0.6323
Mg 0.0000 0.0000 0.0000
Mg 0.0000 0.0000 0.5000
Nb 0.3333 0.6667 0.7500
Nb 0.6667 0.3333 0.2500
Te 0.6667 0.3333 0.7500
Te 0.3333 0.6667 0.2500
```

Properties
raw formation energy: -42.7 kcal/mol of atoms
magnetization: 0.02 μB per cell
final energy: -6.802 eV/atom

=====

No. 5
# NaSrZrSbO6

An optimized crystal structure of NaSrZrSbO6 (PBE, Alexandria via LeMat-Bulk). Values from VASP.

The structure in Quantum ESPRESSO input format:
```
&SYSTEM
  ibrav = 0, nat = 10, ntyp = 5
/
ATOMIC_SPECIES
O 16.00 O.upf
Zr 91.22 Zr.upf
Sr 87.62 Sr.upf
Na 22.99 Na.upf
Sb 121.76 Sb.upf
CELL_PARAMETERS angstrom
0.0000 4.0820 4.0820
4.0820 0.0000 4.0820
4.0820 4.0820 0.0000
ATOMIC_POSITIONS crystal
O 0.2438 0.7562 0.2438
O 0.2438 0.2438 0.7562
O 0.2438 0.7562 0.7562
O 0.7562 0.2438 0.7562
O 0.7562 0.7562 0.2438
O 0.7562 0.2438 0.2438
Zr 0.5000 0.5000 0.5000
Sr 0.7500 0.7500 0.7500
Na 0.2500 0.2500 0.2500
Sb 0.0000 0.0000 0.0000
```

Properties
raw formation energy: -55.7 kcal/mol of atoms
magnetization: 0.00 μB per cell
final energy: -6.959 eV/atom

=====

No. 6
# SbIr

An optimized crystal structure of SbIr (PBE, Alexandria via LeMat-Bulk). Values from VASP.

The structure in Quantum ESPRESSO input format:
```
&SYSTEM
  ibrav = 0, nat = 4, ntyp = 2
/
ATOMIC_SPECIES
Ir 192.22 Ir.upf
Sb 121.76 Sb.upf
CELL_PARAMETERS angstrom
3.1210 0.0000 0.0000
0.0000 4.3654 0.0000
0.0000 0.0000 6.2103
ATOMIC_POSITIONS crystal
Ir 0.0000 0.0000 0.0318
Ir 0.0000 0.5000 0.3016
Sb 0.5000 0.5000 0.9126
Sb 0.5000 0.0000 0.4208
```

Properties
raw formation energy: 4.8 kcal/mol of atoms
magnetization: 0.00 μB per cell
final energy: -6.284 eV/atom

=====

> Among the records above, which one has the lowest final energy?

NaSrZrSbO6

=====

Please write out number 2 again, unchanged.
# SrLi2I4

An optimized crystal structure of SrLi2I4 (PBE, Alexandria via LeMat-Bulk). Values from VASP.

The structure in Quantum ESPRESSO input format:
```
&SYSTEM
  ibrav = 0, nat = 7, ntyp = 3
/
ATOMIC_SPECIES
Sr 87.62 Sr.upf
I 126.90 I.upf
Li 6.94 Li.upf
CELL_PARAMETERS angstrom
-2.2833 3.5270 2.3673
-1.8160 -6.8953 3.6067
6.7924 1.9874 3.5912
ATOMIC_POSITIONS crystal
Sr 0.0000 0.0000 0.0000
I 0.1343 0.2688 0.3963
I 0.8657 0.7312 0.6037
I 0.3776 0.7553 0.1115
I 0.6224 0.2447 0.8885
Li 0.6773 0.3549 0.5802
Li 0.3227 0.6451 0.4198
```

Properties
raw formation energy: -32.5 kcal/mol of atoms
magnetization: 0.00 μB per cell
final energy: -3.080 eV/atom
E above lowest polymorph: 0.0 meV per atom